Record 1
# PBE-GGA TeIr4Se, optimized geometry
data_TeIr4Se
_chemical_formula_sum 'Te4 Ir16 Se4'
_cell_length_a 7.525
_cell_length_b 7.525
_cell_length_c 7.525
_cell_angle_alpha 90.00
_cell_angle_beta 90.00
_cell_angle_gamma 90.00
_symmetry_space_group_name_H-M 'F -4 3 m'
_symmetry_Int_Tables_number 216
_symmetry_space_group_name_Hall 'F -4 2 3'
loop_
_atom_site_label
_atom_site_fract_x
_atom_site_fract_y
_atom_site_fract_z
Te1 0.000 0.000 0.000
Ir1 0.125 0.125 0.625
Se1 0.250 0.250 0.250
# Energy relative to the elements, uncorrected ... 0.833 eV/atom
# Total moment ... 0.00 μB per formula unit

Record 2
# PBE-GGA TeIrSe2, optimized geometry
data_TeIrSe2
_chemical_formula_sum 'Te2 Ir2 Se4'
_cell_length_a 5.494
_cell_length_b 6.185
_cell_length_c 6.584
_cell_angle_alpha 65.80
_cell_angle_beta 73.67
_cell_angle_gamma 75.47
_symmetry_space_group_name_H-M 'P 1'
_symmetry_Int_Tables_number 1
_symmetry_space_group_name_Hall 'P 1'
loop_
_atom_site_label
_atom_site_fract_x
_atom_site_fract_y
_atom_site_fract_z
Te1 0.000 0.000 0.000
Te2 0.352 0.949 0.361
Ir1 0.540 0.017 0.921
Ir2 0.975 0.307 0.199
Se1 0.357 0.439 0.882
Se2 0.577 0.201 0.489
Se3 0.704 0.607 0.920
Se4 0.982 0.603 0.360
# Energy relative to the elements, uncorrected ... -0.126 eV/atom
# Total moment ... 0.00 μB per formula unit

Record 3
# PBE-GGA TeIrSe3, optimized geometry
data_TeIrSe3
_chemical_formula_sum 'Te1 Ir1 Se3'
_cell_length_a 4.918
_cell_length_b 4.918
_cell_length_c 4.918
_cell_angle_alpha 90.00
_cell_angle_beta 90.00
_cell_angle_gamma 90.00
_symmetry_space_group_name_H-M 'P m -3 m'
_symmetry_Int_Tables_number 221
_symmetry_space_group_name_Hall '-P 4 2 3'
loop_
_atom_site_label
_atom_site_fract_x
_atom_site_fract_y
_atom_site_fract_z
Te1 0.000 0.000 0.000
Ir1 0.500 0.500 0.500
Se1 0.000 0.500 0.500
# Energy relative to the elements, uncorrected ... 0.445 eV/atom
# Distance to the lowest polymorph of the same formula ... 0.523 eV/atom
# Total moment ... 0.00 μB per formula unit

Record 4
# PBE-GGA TeIr2Se2, optimized geometry
data_TeIr2Se2
_chemical_formula_sum 'Te2 Ir4 Se4'
_cell_length_a 3.872
_cell_length_b 3.872
_cell_length_c 16.324
_cell_angle_alpha 90.00
_cell_angle_beta 90.00
_cell_angle_gamma 90.00
_symmetry_space_group_name_H-M 'I 4/m m m'
_symmetry_Int_Tables_number 139
_symmetry_space_group_name_Hall '-I 4 2'
loop_
_atom_site_label
_atom_site_fract_x
_atom_site_fract_y
_atom_site_fract_z
Te1 0.000 0.000 0.000
Ir1 0.000 0.500 0.250
Se1 0.000 0.000 0.345
# Energy relative to the elements, uncorrected ... 0.185 eV/atom
# Distance to the lowest polymorph of the same formula ... 0.000 eV/atom
# Total moment ... 0.00 μB per formula unit

Record 5
# PBE-GGA TeIrSe2, optimized geometry
data_TeIrSe2
_chemical_formula_sum 'Te2 Ir2 Se4'
_cell_length_a 3.659
_cell_length_b 4.672
_cell_length_c 11.906
_cell_angle_alpha 90.00
_cell_angle_beta 90.00
_cell_angle_gamma 90.00
_symmetry_space_group_name_H-M 'I m m m'
_symmetry_Int_Tables_number 71
_symmetry_space_group_name_Hall '-I 2 2'
loop_
_atom_site_label
_atom_site_fract_x
_atom_site_fract_y
_atom_site_fract_z
Te1 0.000 0.000 0.000
Ir1 0.000 0.000 0.500
Se1 0.000 0.500 0.147
# Energy relative to the elements, uncorrected ... 0.074 eV/atom
# Total moment ... 0.00 μB per formula unit

Record 6
# PBE-GGA TeIrSe2, optimized geometry
data_TeIrSe2
_chemical_formula_sum 'Te1 Ir1 Se2'
_cell_length_a 4.816
_cell_length_b 4.816
_cell_length_c 3.348
_cell_angle_alpha 90.00
_cell_angle_beta 90.00
_cell_angle_gamma 90.00
_symmetry_space_group_name_H-M 'P 4/m m m'
_symmetry_Int_Tables_number 123
_symmetry_space_group_name_Hall '-P 4 2'
loop_
_atom_site_label
_atom_site_fract_x
_atom_site_fract_y
_atom_site_fract_z
Te1 0.000 0.000 0.000
Ir1 0.500 0.500 0.000
Se1 0.000 0.500 0.500
# Energy relative to the elements, uncorrected ... 0.702 eV/atom
# Total moment ... 0.00 μB per formula unit